# PBE AcCdSi2, optimized geometry
# - E (eV/atom) = -4.097
# - density of states at the Fermi level (states/eV/atom) = 0.52
# - uncorrected formation energy (eV per atom) = -0.130
# - mass density (g cm⁻³) = 6.2
data_AcCdSi2
_chemical_formula_sum 'Ac2 Cd2 Si4'
_symmetry_space_group_name_H-M 'A m m 2'
_symmetry_Int_Tables_number 38
_symmetry_space_group_name_Hall 'A 2 -2'
_cell_length_a 4.138
_cell_length_b 6.159
_cell_length_c 8.334
_cell_angle_alpha 90.00
_cell_angle_beta 90.00
_cell_angle_gamma 90.00
loop_
_atom_site_label
_atom_site_type_symbol
_atom_site_fract_x
_atom_site_fract_y
_atom_site_fract_z
Ac1 Ac 0.000 0.000 0.000
Cd1 Cd 0.500 0.000 0.583
Si1 Si 0.500 0.188 0.292